# 1
4
Lattice="3.372 -0.380 3.673 -1.448 0.369 4.772 0.044 -4.041 2.946" Properties=species:S:1:pos:R:3 comment="Y2TaIr | the Alexandria database | PBE | optimized geometry" magnetic_moment_mub_per_cell=3.03 e_form_ev_per_atom=0.10 dft_energy_ha_per_atom=-0.3052 pbc="T T T"
Y 0.492 -1.013 2.848
Y 1.477 -3.039 8.543
Ir 0.984 -2.026 5.695
Ta 0.000 0.000 0.000

---

# 2
20
Lattice="5.742 0.007 2.103 3.120 7.644 0.375 0.244 -0.423 8.250" Properties=species:S:1:pos:R:3 comment="Nd2Si5Pt3 | the Alexandria database | PBE | optimized geometry" magnetic_moment_mub_per_cell=0.00 e_form_raw_ev_per_atom=-0.99 dft_energy_ha_per_atom=-0.2378 pbc="T T T"
Si 6.767 5.802 3.756
Si 5.988 3.616 5.890
Si 5.208 1.429 8.025
Si 2.338 1.426 6.972
Si 6.914 7.065 7.810
Si 3.390 5.230 8.547
Si 2.191 0.163 2.919
Si 3.897 5.799 2.704
Si 5.715 1.998 2.182
Si 3.117 3.612 4.839
Nd 2.606 2.974 1.783
Nd 4.735 0.898 4.865
Nd 6.499 4.253 8.946
Nd 4.370 6.330 5.864
Pt 3.898 3.314 7.155
Pt 1.554 1.717 4.664
Pt 5.207 3.914 3.574
Pt 7.551 5.511 6.065
Pt 4.550 -0.416 9.826
Pt 4.555 7.644 0.902

---

# 3
4
Lattice="-3.073 1.163 -2.138 -3.323 -2.080 0.050 -4.986 4.413 5.971" Properties=species:S:1:pos:R:3 comment="Ce2TlPd | the Alexandria database | PBE | optimized geometry" magnetic_moment_mub_per_cell=1.86 e_form_ev_per_atom=-0.31 dft_energy_ha_per_atom=-0.1899 pbc="T T T"
Ce -2.734 0.691 0.712
Ce -8.647 2.805 3.171
Pd 0.000 0.000 0.000
Tl -5.691 1.748 1.941

---

# 4
4
Lattice="3.797 0.000 0.000 1.899 3.288 0.000 1.899 1.096 8.890" Properties=species:S:1:pos:R:3 comment="Lu2SeBr | the Alexandria database | PBE | optimized geometry" magnetic_moment_mub_per_cell=0.01 e_form_raw_ev_per_atom=-1.12 dft_energy_ha_per_atom=-0.1715 pbc="T T T"
Br 0.000 0.000 0.000
Lu 1.899 1.096 6.207
Lu 5.696 3.288 2.683
Se 3.797 2.192 4.445

---

# 5
5
Lattice="5.408 0.000 0.000 0.000 5.408 0.000 0.000 0.000 5.408" Properties=species:S:1:pos:R:3 comment="Na3AlPt | the Alexandria database | PBE | optimized geometry" magnetic_moment_mub_per_cell=0.00 e_form_ev_per_atom=0.40 dft_energy_ha_per_atom=-0.0864 pbc="T T T"
Na 2.704 0.000 0.000
Na 0.000 0.000 2.704
Na 0.000 2.704 0.000
Al 2.704 2.704 2.704
Pt 0.000 0.000 0.000

---

# 6
5
Lattice="4.140 0.000 0.000 0.000 4.140 0.000 0.000 0.000 4.229" Properties=species:S:1:pos:R:3 comment="AgCN2F | the Alexandria database | PBE | optimized geometry" magnetic_moment_mub_per_cell=1.99 e_form_raw_ev_per_atom=2.72 dft_energy_ha_per_atom=-0.1249 pbc="T T T"
Ag 0.000 0.000 0.000
N 0.000 2.070 0.000
N 2.070 0.000 0.000
C 2.070 2.070 2.114
F 0.000 0.000 2.114

---

# 7
12
Lattice="-4.646 0.552 -6.779 7.623 -7.813 -10.863 -4.798 -8.175 -2.381" Properties=species:S:1:pos:R:3 comment="Cs4Rb5Na3 | the Alexandria database | PBE | optimized geometry" magnetic_moment_mub_per_cell=0.00 e_form_ev_per_atom=0.05 dft_energy_ha_per_atom=-0.0356 pbc="T T T"
Rb -3.506 -11.421 -13.538
Rb 0.775 -13.277 -16.623
Rb 1.686 -4.015 -6.486
Rb -0.910 -7.718 -10.012
Rb -2.595 -2.159 -3.401
Cs -3.037 -3.618 -8.221
Cs 1.216 -11.818 -11.803
Cs -2.187 -7.337 -4.102
Cs 0.367 -8.099 -15.922
Na -4.287 -8.388 -7.753
Na 1.412 -7.994 -6.622
Na 2.466 -7.048 -12.271

---

# 8
10
Lattice="-2.645 5.299 1.437 -2.954 -4.030 -3.473 0.721 -4.361 4.447" Properties=species:S:1:pos:R:3 comment="NaSmAg2F6 | the Alexandria database | PBE | optimized geometry" magnetic_moment_mub_per_cell=0.00 e_form_raw_ev_per_atom=-2.54 dft_energy_ha_per_atom=-0.1778 pbc="T T T"
Na -4.882 -3.021 2.338
F -3.333 -3.950 0.800
F -3.580 -1.050 2.160
F -0.417 -3.491 2.456
F -1.170 -1.945 -0.245
F -4.197 0.729 -0.343
F -1.589 1.253 1.179
Ag -3.504 -1.546 -0.538
Ag -1.701 -1.744 3.475
Sm -3.766 1.173 1.854

---

Please write out number 6 again, unchanged.
5
Lattice="4.140 0.000 0.000 0.000 4.140 0.000 0.000 0.000 4.229" Properties=species:S:1:pos:R:3 comment="AgCN2F | the Alexandria database | PBE | optimized geometry" magnetic_moment_mub_per_cell=1.99 e_form_raw_ev_per_atom=2.72 dft_energy_ha_per_atom=-0.1249 pbc="T T T"
Ag 0.000 0.000 0.000
N 0.000 2.070 0.000
N 2.070 0.000 0.000
C 2.070 2.070 2.114
F 0.000 0.000 2.114